# CaRe2Ru | Alexandria | PBE | optimized geometry
# mass density	12.851	g cm⁻³
# DOS at the Fermi energy	9.371	states/eV per cell
# DFT total energy	-8.3431	eV/atom
data_CaRe2Ru
_chemical_formula_sum 'Ca2 Re4 Ru2'
_cell_length_a 5.226
_cell_length_b 9.267
_cell_length_c 2.740
_cell_angle_alpha 90.00
_cell_angle_beta 90.00
_cell_angle_gamma 90.00
_space_group_name_H-M_alt 'C m m m'
_space_group_IT_number 65
_space_group_name_Hall '-C 2 2'
loop_
_atom_site_label
_atom_site_type_symbol
_atom_site_fract_x
_atom_site_fract_y
_atom_site_fract_z
Ca1 Ca 0.000 0.000 0.000
Re1 Re 0.250 0.250 0.500
Ru1 Ru 0.000 0.500 0.000

---

# CaReRu2 | Alexandria | PBE | optimized geometry
# mass density	10.339	g cm⁻³
# DOS at the Fermi energy	3.440	states/eV per cell
# DFT total energy	-7.7675	eV/atom
data_CaReRu2
_chemical_formula_sum 'Ca1 Re1 Ru2'
_cell_length_a 2.867
_cell_length_b 4.437
_cell_length_c 5.578
_cell_angle_alpha 90.00
_cell_angle_beta 104.11
_cell_angle_gamma 90.00
_space_group_name_H-M_alt 'P 1 m 1'
_space_group_IT_number 6
_space_group_name_Hall 'P -2y'
loop_
_atom_site_label
_atom_site_type_symbol
_atom_site_fract_x
_atom_site_fract_y
_atom_site_fract_z
Ca1 Ca 0.000 0.000 0.000
Re1 Re 0.647 0.500 0.298
Ru1 Ru 0.343 0.500 0.708
Ru2 Ru 0.737 0.000 0.494

---

# CaRe2Ru | Alexandria | PBE | optimized geometry
# mass density	12.970	g cm⁻³
# DOS at the Fermi energy	4.480	states/eV per cell
# DFT total energy	-8.4326	eV/atom
data_CaRe2Ru
_chemical_formula_sum 'Ca1 Re2 Ru1'
_cell_length_a 2.743
_cell_length_b 4.721
_cell_length_c 5.173
_cell_angle_alpha 90.00
_cell_angle_beta 101.00
_cell_angle_gamma 90.00
_space_group_name_H-M_alt 'P 1 2/m 1'
_space_group_IT_number 10
_space_group_name_Hall '-P 2y'
loop_
_atom_site_label
_atom_site_type_symbol
_atom_site_fract_x
_atom_site_fract_y
_atom_site_fract_z
Ca1 Ca 0.000 0.000 0.000
Re1 Re 0.268 0.500 0.748
Ru1 Ru 0.500 0.000 0.500

---

# Ca2ReRu | Alexandria | PBE | optimized geometry
# mass density	7.989	g cm⁻³
# DOS at the Fermi energy	5.058	states/eV per cell
# DFT total energy	-5.6620	eV/atom
data_Ca2ReRu
_chemical_formula_sum 'Ca2 Re1 Ru1'
_cell_length_a 3.427
_cell_length_b 4.600
_cell_length_c 4.844
_cell_angle_alpha 90.00
_cell_angle_beta 90.00
_cell_angle_gamma 90.00
_space_group_name_H-M_alt 'P m m m'
_space_group_IT_number 47
_space_group_name_Hall '-P 2 2'
loop_
_atom_site_label
_atom_site_type_symbol
_atom_site_fract_x
_atom_site_fract_y
_atom_site_fract_z
Ca1 Ca 0.000 0.000 0.000
Ca2 Ca 0.500 0.500 0.000
Re1 Re 0.000 0.500 0.500
Ru1 Ru 0.500 0.000 0.500

---

Number 1: energy of formation from the pure elements 700 meV per atom. Number 2: energy of formation from the pure elements 483 meV per atom. Number 3: energy of formation from the pure elements 611 meV per atom. Number 4: energy of formation from the pure elements 770 meV per atom.